The following is a DFT calculation (GGA-PBE) of crystalline CeGa6Ag12 at its relaxed geometry.

```
19
Lattice="5.945 3.433 3.034 -5.945 3.433 3.034 0.000 -6.865 3.034" Properties=species:S:1:pos:R:3 pbc="T T T"
Ce 0.000 0.000 0.000
Ga 0.000 -3.022 3.757
Ga -2.617 1.511 3.757
Ga -2.617 -1.511 5.344
Ga 2.617 1.511 3.757
Ga 2.617 -1.511 5.344
Ga 0.000 3.022 5.344
Ag -2.277 -3.945 4.551
Ag -4.555 0.000 4.551
Ag -1.471 -0.849 2.902
Ag 1.471 -0.849 2.902
Ag 0.000 1.699 2.902
Ag 2.277 -3.945 4.551
Ag -2.277 3.945 4.551
Ag 0.000 -1.699 6.199
Ag -1.471 0.849 6.199
Ag 1.471 0.849 6.199
Ag 4.555 0.000 4.551
Ag 2.277 3.945 4.551
```

## Properties
Fermi-level density of states = 12.420 states/eV/cell
DFT formation energy = 0.0167 eV/atom